[1]
The following is a PBE calculation of crystalline TmPu2ThSe4 at its relaxed geometry, from Alexandria via LeMat-Bulk.

POSCAR file:
```
TmPu2ThSe4
1.0
-1.9190 -3.5720 0.5880
6.1893 -2.9150 2.4908
-3.5796 2.8112 5.3951
Se Tm Pu Th
4 1 2 1
Direct
0.0000 0.7611 0.2522
0.0000 0.2389 0.7478
0.5000 0.7602 0.7553
0.5000 0.2398 0.2447
0.0000 0.0000 0.0000
0.5000 0.0000 0.5000
0.0000 0.5000 0.5000
0.5000 0.5000 0.0000
```

formation energy (no corrections): -1572 meV per atom
space group: P2/m

=====

[2]
The following is a PBE calculation of crystalline Tm2PuThSe4 at its relaxed geometry, from Alexandria via LeMat-Bulk.

POSCAR file:
```
Tm2PuThSe4
1.0
-3.3047 -0.0631 2.2556
-3.6159 -3.4151 -5.3933
0.7369 -6.8712 0.8875
Se Pu Tm Th
4 1 2 1
Direct
0.5000 0.2351 0.7518
0.0000 0.7682 0.7410
0.5000 0.7649 0.2482
0.0000 0.2318 0.2590
0.0000 0.5000 0.5000
0.5000 0.0000 0.5000
0.0000 0.0000 0.0000
0.5000 0.5000 0.0000
```

formation energy (no corrections): -1610 meV per atom
space group: P2/m

=====

[3]
The following is a PBE calculation of crystalline YPu2ThSe4 at its relaxed geometry, from Alexandria via LeMat-Bulk.

POSCAR file:
```
YPu2ThSe4
1.0
4.1239 0.0000 0.0000
0.0000 7.2816 0.1660
0.0000 -2.5034 6.6415
Se Pu Th Y
4 2 1 1
Direct
0.5000 0.7556 0.7509
0.0000 0.2414 0.7458
0.5000 0.2444 0.2491
0.0000 0.7586 0.2542
0.5000 0.0000 0.5000
0.0000 0.5000 0.5000
0.5000 0.5000 0.0000
0.0000 0.0000 0.0000
```

formation energy (no corrections): -1600 meV per atom
space group: P2/m

=====

[4]
The following is a PBE calculation of crystalline PuTi2Se at its relaxed geometry, from Alexandria via LeMat-Bulk.

POSCAR file:
```
PuTi2Se
1.0
3.3080 0.0000 0.0000
1.6540 2.8648 0.0000
1.6540 0.9549 8.7932
Se Ti Pu
1 2 1
Direct
0.5000 0.5000 0.5000
0.1023 0.1023 0.6931
0.8977 0.8977 0.3069
0.0000 0.0000 0.0000
```

formation energy (no corrections): -60 meV per atom
space group: R-3m

=====

Question: Which of these has the highest formation energy (no corrections)?
Answer: PuTi2Se

=====

Question: Look up the formation energy (no corrections) of the first one.
Answer: -1572 meV per atom

=====

What did the second record say?
The following is a PBE calculation of crystalline Tm2PuThSe4 at its relaxed geometry, from Alexandria via LeMat-Bulk.

POSCAR file:
```
Tm2PuThSe4
1.0
-3.3047 -0.0631 2.2556
-3.6159 -3.4151 -5.3933
0.7369 -6.8712 0.8875
Se Pu Tm Th
4 1 2 1
Direct
0.5000 0.2351 0.7518
0.0000 0.7682 0.7410
0.5000 0.7649 0.2482
0.0000 0.2318 0.2590
0.0000 0.5000 0.5000
0.5000 0.0000 0.5000
0.0000 0.0000 0.0000
0.5000 0.5000 0.0000
```

formation energy (no corrections): -1610 meV per atom
space group: P2/m